No. 1
# BaTh5Sb6

A geometry-optimized BaTh5Sb6 structure (PBE-GGA, Alexandria).

a b c (Å): 7.9336 7.9112 7.9084
angles (deg): 59.99 80.42 70.57
Fractional coordinates of all 12 atoms:
Th (0.0000, 0.6683, 0.6634)
Th (0.0000, 0.3317, 0.3366)
Th (0.5000, 0.1594, 0.6813)
Th (0.5000, 0.5000, 0.0000)
Th (0.5000, 0.8406, 0.3187)
Sb (0.7490, 0.7369, 0.0000)
Sb (0.7397, 0.0872, 0.3462)
Sb (0.7397, 0.4334, 0.6538)
Sb (0.2510, 0.2631, 0.0000)
Sb (0.2603, 0.9128, 0.6538)
Sb (0.2603, 0.5666, 0.3462)
Ba (0.0000, 0.0000, 0.0000)

Summary:
V   33.8 A^3/atom
Formation energy (no corrections)   -0.92 eV/atom
E_tot   -74.78 eV for the cell shown

***

No. 2
# LiPtSe2

A geometry-optimized LiPtSe2 structure (PBE-GGA, Alexandria).

a b c (Å): 3.6959 4.8355 4.8543
angles (deg): 77.58 90.00 90.00
Fractional coordinates of all 4 atoms:
Li (0.5000, 0.2500, 0.2500)
Se (0.0000, 0.9649, 0.9650)
Se (0.0000, 0.5351, 0.5350)
Pt (0.5000, 0.7500, 0.7500)

Summary:
V   21.2 A^3/atom
Formation energy (no corrections)   -0.49 eV/atom
E_tot   -16.88 eV for the cell shown

***

No. 3
# Tl2CdGaRe

A geometry-optimized Tl2CdGaRe structure (PBE-GGA, Alexandria).

a b c (Å): 5.3851 5.0282 5.3851
angles (deg): 90.00 90.00 90.00
Fractional coordinates of all 5 atoms:
Cd (0.0000, 0.5000, 0.0000)
Ga (0.0000, 0.0000, 0.0000)
Tl (0.0000, 0.0000, 0.5000)
Tl (0.5000, 0.0000, 0.0000)
Re (0.5000, 0.5000, 0.5000)

Summary:
V   29.2 A^3/atom
ΔH_f (0 K)   133.74 kJ/mol of atoms
E_tot   -14.19 eV for the cell shown

***

No. 4
# La2Pr3Y6

A geometry-optimized La2Pr3Y6 structure (PBE-GGA, Alexandria).

a b c (Å): 6.6060 6.1460 11.4381
angles (deg): 87.79 85.89 57.49
Fractional coordinates of all 11 atoms:
Y (0.2663, 0.0000, 0.2857)
Y (0.7337, 0.0000, 0.7143)
Y (0.0485, 0.3351, 0.7534)
Y (0.6165, 0.3351, 0.2466)
Y (0.9515, 0.6649, 0.2466)
Y (0.3835, 0.6649, 0.7534)
Pr (0.3387, 0.3225, 0.0000)
Pr (0.6613, 0.6775, 0.0000)
Pr (0.0000, 0.0000, 0.0000)
La (0.2662, 0.4675, 0.5000)
La (0.7338, 0.5325, 0.5000)

Summary:
V   35.5 A^3/atom
Energy relative to the lowest polymorph listed for this composition   70 meV per atom
ΔH_f (0 K)   15.90 kJ/mol of atoms
E_tot   -61.16 eV for the cell shown

***

No. 5
# Se2ClF

A geometry-optimized Se2ClF structure (PBE-GGA, Alexandria).

a b c (Å): 4.4621 4.4621 9.1179
angles (deg): 75.84 75.84 90.00
Fractional coordinates of all 8 atoms:
Se (0.5086, 0.1250, 0.2500)
Se (0.8750, 0.7586, 0.7500)
Se (0.3750, 0.4914, 0.7500)
Se (0.2414, 0.6250, 0.2500)
Cl (0.0000, 0.0000, 0.0000)
Cl (0.7500, 0.2500, 0.5000)
F (0.2500, 0.7500, 0.5000)
F (0.5000, 0.5000, 0.0000)

Summary:
V   21.3 A^3/atom
Formation energy (no corrections)   -0.05 eV/atom
Energy relative to the lowest polymorph listed for this composition   435 meV per atom
E_tot   -21.79 eV for the cell shown

***

No. 6
# Nb2C

A geometry-optimized Nb2C structure (PBE-GGA, Alexandria).

a b c (Å): 3.1143 5.0009 11.0017
angles (deg): 90.00 90.00 90.00
Fractional coordinates of all 12 atoms:
C (0.7500, 0.4915, 0.1249)
C (0.2500, 0.5085, 0.8751)
C (0.2500, 0.9915, 0.3751)
C (0.7500, 0.0085, 0.6249)
Nb (0.2500, 0.2626, 0.7037)
Nb (0.2500, 0.7461, 0.0452)
Nb (0.2500, 0.7539, 0.5452)
Nb (0.7500, 0.7626, 0.7963)
Nb (0.2500, 0.2374, 0.2037)
Nb (0.7500, 0.2461, 0.4548)
Nb (0.7500, 0.2539, 0.9548)
Nb (0.7500, 0.7374, 0.2963)

Summary:
V   14.3 A^3/atom
ΔH_f (0 K)   -46.99 kJ/mol of atoms
E_tot   -123.30 eV for the cell shown